Entry from Alexandria: a relaxed structure of LaYInP2 (PBE).

a b c (Å): 5.2469 5.8930 5.2469
angles (deg): 90.00 90.00 90.00
With the nearest neighbours (Å) after each atom.
Element x y z (fractional)
P 0.5000 0.0000 0.0000  2 Y 2.62
P 0.0000 0.0000 0.5000  2 Y 2.62
La 0.0000 0.5000 0.0000  2 Y 2.95
In 0.5000 0.5000 0.5000  4 La 3.71, 8 P 3.95
Y 0.0000 0.0000 0.0000  4 P 2.62

Results
The magnetic moment comes out at 0.0 μB per formula unit. The total DFT energy (no corrections) comes out at -4.65 eV/atom.

Entry from Alexandria: a relaxed structure of LaPaIn2 (PBE).

a b c (Å): 4.6717 4.8278 4.8278
angles (deg): 90.00 90.00 90.00
With the nearest neighbours (Å) after each atom.
Element x y z (fractional)
In 0.0000 0.0000 0.5000  4 La 3.36, 4 Pa 3.36, 4 In 3.41
In 0.0000 0.5000 0.0000  4 La 3.36, 4 Pa 3.36, 4 In 3.41
Pa 0.5000 0.5000 0.5000  8 In 3.36, 4 La 3.41
La 0.5000 0.0000 0.0000  8 In 3.36, 4 Pa 3.41

Results
The magnetic moment comes out at 0.0 μB per formula unit. The total DFT energy (no corrections) comes out at -5.12 eV/atom.